No. 1
VASP calculation (PBE) on crystalline Ce8Al2Re at its relaxed geometry.

## Properties
Formation enthalpy at 0 K = -0.0882 eV/atom

Unit cell a=5.5264 b=6.9878 c=14.1565 alpha=90.00 beta=90.00 gamma=90.00
With the nearest neighbours (Å) after each atom.
Space group Immm (No. 71)
Inequivalent atoms, fractional coordinates:
Ce  0.0000  0.0000  0.1397  2 Ce 2.74
Ce  0.0000  0.2087  0.3693  1 Re 2.75, 1 Ce 2.92
Ce  0.0000  0.2715  0.0000  2 Ce 2.74
Al  0.0000  0.5000  0.1960  8 Ce 3.19-3.26
Re  0.0000  0.5000  0.5000  4 Ce 2.75

No. 2
VASP calculation (PBE) on crystalline Ni2Sn5Pd12 at its relaxed geometry.

## Properties
Formation enthalpy at 0 K = -0.1887 eV/atom

Unit cell a=14.7913 b=5.5779 c=8.7247 alpha=90.00 beta=101.07 gamma=90.00
With the nearest neighbours (Å) after each atom.
Space group C2/m (No. 12)
Inequivalent atoms, fractional coordinates:
Ni  0.0000  0.2238  0.0000  1 Ni 2.50, 2 Pd 2.59, 2 Sn 2.70
Sn  0.0000  0.5000  0.5000  6 Pd 2.61-2.65
Sn  0.1318  0.0000  0.8775  7 Pd 2.61-2.87, 2 Ni 2.70
Sn  0.1974  0.0000  0.3775  7 Pd 2.60-2.70
Pd  0.0188  0.0000  0.3426  2 Sn 2.60-2.65, 1 Pd 2.91
Pd  0.0598  0.5000  0.2368  2 Ni 2.59, 1 Sn 2.61, 2 Pd 2.76
Pd  0.1489  0.2471  0.6151  4 Sn 2.65-2.73, 4 Pd 2.76-2.92
Pd  0.1967  0.2608  0.1229  3 Sn 2.61-2.87, 5 Pd 2.67-2.91, 1 Ni 2.91

No. 3
VASP calculation (PBE) on crystalline Na3ZnB5O10 at its relaxed geometry.

## Properties
Calculated total energy = -1048.49 eV for the cell shown

Unit cell a=8.0055 b=12.4918 c=18.2554 alpha=90.00 beta=90.00 gamma=90.00
With the nearest neighbours (Å) after each atom.
Space group Pbca (No. 61)
Inequivalent atoms, fractional coordinates:
Na  0.1680  0.0857  0.0769  3 O 2.36-2.47
Na  0.1905  0.1523  0.7541  5 O 2.37-2.61
Na  0.2091  0.0761  0.4294  4 O 2.31-2.47
Zn  0.0737  0.6725  0.9020  4 O 1.97-2.00
B  0.0066  0.0234  0.3000  3 O 1.34-1.42
B  0.0565  0.6534  0.2976  3 O 1.35-1.41
B  0.0615  0.7135  0.1638  4 O 1.47-1.48
B  0.0808  0.1535  0.9216  3 O 1.35-1.42
B  0.2250  0.6704  0.5744  3 O 1.34-1.42
O  0.0145  0.5487  0.2752  2 B 1.41-1.42
O  0.0384  0.5982  0.1467  2 B 1.40-1.48
O  0.0665  0.5737  0.8160  1 B 1.34
O  0.0730  0.6740  0.3699  1 B 1.35
O  0.0753  0.7302  0.2435  2 B 1.39-1.47
O  0.0758  0.6190  0.5513  2 B 1.42
O  0.0841  0.2258  0.8641  2 B 1.38-1.48
O  0.1311  0.1401  0.5427  1 B 1.34
O  0.2169  0.7477  0.6290  2 B 1.39-1.48
O  0.2225  0.1139  0.9515  1 B 1.35

No. 4
VASP calculation (PBE) on crystalline Sc3PdS at its relaxed geometry.

## Properties
Calculated total energy = -31.81 eV for the cell shown

Unit cell a=4.7527 b=4.7527 c=4.7527 alpha=90.00 beta=90.00 gamma=90.00
With the nearest neighbours (Å) after each atom.
Space group Pm-3m (No. 221)
Inequivalent atoms, fractional coordinates:
Sc  0.0000  0.0000  0.5000  2 S 2.38
Pd  0.5000  0.5000  0.5000  12 Sc 3.36
S  0.0000  0.0000  0.0000  6 Sc 2.38

No. 5
VASP calculation (PBE) on crystalline ZnCd5 at its relaxed geometry.

## Properties
Formation enthalpy at 0 K = 0.0270 eV/atom

Unit cell a=13.4279 b=3.0238 c=6.7843 alpha=90.00 beta=109.54 gamma=90.00
With the nearest neighbours (Å) after each atom.
Space group Cm (No. 8)
Inequivalent atoms, fractional coordinates:
Zn  0.0000  0.0000  0.0000  8 Cd 2.96-3.06, 2 Zn 3.02
Cd  0.0004  0.0000  0.4978  10 Cd 3.00-3.23
Cd  0.1581  0.5000  0.8469  9 Cd 3.00-3.34, 2 Zn 3.06
Cd  0.1653  0.5000  0.3228  2 Zn 2.96, 7 Cd 3.02-3.22
Cd  0.3359  0.0000  0.6757  2 Zn 2.96, 7 Cd 3.02-3.23
Cd  0.3412  0.0000  0.1506  9 Cd 3.01-3.33, 2 Zn 3.06

Q: Which formula does entry 5 have?
A: ZnCd5